Ce2MgRh: optimized geometry, PBE.

Energy relative to the elements, eV/atom: -0.2264

POSCAR file:
```
Ce2MgRh
1.0
4.398 0.000 0.000
0.000 4.398 0.000
0.000 0.000 4.505
Ce Mg Rh
2 1 1
Direct
0.000 0.500 0.000 Ce
0.500 0.000 0.000 Ce
0.000 0.000 0.500 Mg
0.500 0.500 0.500 Rh
```